1.
Here is a geometry-optimized Cs2Sr2RhO6 structure from Alexandria via LeMat-Bulk. Energies are from PBE-GGA.

Calculated values
E (Ry/atom): -0.3969
ΔE_f (raw) (eV/atom): -1.567
Size of the total moment (Bohr magnetons per cell): 5.89
Theoretical density (g cm⁻³): 4.8

Cell: 6.2015 10.4866 7.1162 Å, 90.00 104.80 90.00°
With the nearest neighbours (Å) after each atom.
Space group C2/m (No. 12)
Unique sites:
Cs (0.0000, 0.1663, 0.0000) x4  4 O 2.94-2.97
Sr (0.0000, 0.3370, 0.5000) x4  6 O 2.51-2.52
Rh (0.0000, 0.0000, 0.5000) x2  6 O 2.00-2.01
O (0.1837, 0.1371, 0.6597) x8  1 Rh 2.00
O (0.2163, 0.0000, 0.3318) x4  1 Rh 2.01

***

2.
Here is a geometry-optimized Cs3Sr2RhO6 structure from Alexandria via LeMat-Bulk. Energies are from PBE-GGA.

Calculated values
E (Ry/atom): -0.3757
ΔE_f (raw) (eV/atom): -1.527
Size of the total moment (Bohr magnetons per cell): 4.02
Theoretical density (g cm⁻³): 5.6

Cell: 6.2797 10.8673 7.0230 Å, 90.00 106.94 90.00°
With the nearest neighbours (Å) after each atom.
Space group C2/m (No. 12)
Unique sites:
Cs (0.0000, 0.0000, 0.0000) x2  6 O 2.96-3.26
Cs (0.0000, 0.3346, 0.0000) x4  4 O 2.92-2.95
Sr (0.0000, 0.1663, 0.5000) x4  6 O 2.55-2.57
Rh (0.0000, 0.5000, 0.5000) x2  6 O 2.06-2.10
O (0.1936, 0.3630, 0.6676) x8  1 Rh 2.06
O (0.2210, 0.5000, 0.3260) x4  1 Rh 2.10